Entry 1:
NaLaMg6: optimized geometry, GGA-PBE.

The structure in extended XYZ format:
```
8
Lattice="5.263 0.000 0.000 0.000 3.315 6.131 0.000 -3.315 6.131" Properties=species:S:1:pos:R:3 pbc="T T T"
Na 0.000 0.000 0.000
La 2.631 0.000 2.085
Mg 0.000 -1.618 3.382
Mg 0.000 1.618 3.382
Mg 0.000 0.000 6.647
Mg 2.631 -1.575 5.189
Mg 2.631 1.575 5.189
Mg 2.631 0.000 8.625
```

Values from the calculation:
* M_tot: 0.0000 μB/atom
* E_form: 0.063 eV per atom
* space-group type: Amm2 (38)
* mass density: 2.4 Mg/m³
* polymorph energy (0 for the lowest one): 15 meV per atom

Entry 2:
NaLa2Mg16: optimized geometry, GGA-PBE.

The structure in extended XYZ format:
```
19
Lattice="5.214 3.010 5.112 -5.214 3.010 5.112 0.000 -6.020 5.112" Properties=species:S:1:pos:R:3 pbc="T T T"
Na 0.000 0.000 0.000
La 0.000 0.000 3.706
La 0.000 0.000 8.720
Mg -2.559 -1.477 5.986
Mg -2.028 -3.013 8.727
Mg -3.624 -0.250 8.727
Mg 0.000 -2.899 6.378
Mg -2.511 1.449 6.378
Mg -2.573 -1.485 11.288
Mg 2.559 -1.477 5.986
Mg 0.000 2.954 5.986
Mg 2.028 -3.013 8.727
Mg -1.595 3.263 8.727
Mg 2.511 1.449 6.378
Mg 0.000 0.000 12.242
Mg 2.573 -1.485 11.288
Mg 0.000 2.971 11.288
Mg 3.624 -0.250 8.727
Mg 1.595 3.263 8.727
```

Values from the calculation:
* M_tot: 0.0000 μB/atom
* E_form: -0.051 eV per atom
* space-group type: R3m (160)
* mass density: 2.4 Mg/m³

Entry 3:
NaLaMg14: optimized geometry, GGA-PBE.

The structure in extended XYZ format:
```
16
Lattice="10.509 0.000 0.000 0.000 3.237 5.845 0.000 -3.237 5.845" Properties=species:S:1:pos:R:3 pbc="T T T"
Na 0.000 0.000 0.000
La 0.000 0.000 5.934
Mg 0.000 -1.653 3.029
Mg 0.000 1.653 3.029
Mg 2.567 0.000 1.926
Mg 2.703 0.000 7.802
Mg 2.738 -1.610 4.814
Mg 2.738 1.610 4.814
Mg 5.255 0.000 0.032
Mg 5.255 -1.600 2.923
Mg 5.255 1.600 2.923
Mg 5.255 0.000 5.881
Mg 7.771 -1.610 4.814
Mg 7.771 1.610 4.814
Mg 7.806 0.000 7.802
Mg 7.942 0.000 1.926
```

Values from the calculation:
* M_tot: 0.0000 μB/atom
* E_form: 0.046 eV per atom
* space-group type: Amm2 (38)
* mass density: 2.1 Mg/m³
* polymorph energy (0 for the lowest one): 23 meV per atom